DFT (GGA-PBE) results for a relaxed structure of K2Pu2FeS6.

Computed properties:
E_form (uncorrected)	-1163	meV per atom
SG	C2/m
size of the total moment	8.0	μB/f.u.

a = 6.517 Å, b = 6.517 Å, c = 7.895 Å
α = 98.45°, β = 98.45°, γ = 118.92°
Element x y z (fractional)
K (0.173, 0.827, 0.000)
K (0.827, 0.173, 0.000)
Pu (0.333, 0.667, 0.500)
Pu (0.667, 0.333, 0.500)
Fe (0.000, 0.000, 0.500)
S (0.067, 0.365, 0.687)
S (0.229, 0.229, 0.315)
S (0.365, 0.067, 0.687)
S (0.635, 0.933, 0.313)
S (0.771, 0.771, 0.685)
S (0.933, 0.635, 0.313)